DFT (PBE) results for an optimized crystal structure of LaPr4Al4.

Output
The formation energy from the elements is -0.17 eV per atom. The space-group type is I4/m, No. 87.

Cell: 5.232 10.260 10.260 Å, 90.00 90.00 90.00°
Atoms (fractional coordinates):
Al 0.500 0.072 0.829
Al 0.500 0.829 0.928
Al 0.000 0.428 0.671
Al 0.500 0.171 0.072
Al 0.000 0.329 0.428
Al 0.000 0.572 0.329
Al 0.500 0.928 0.171
Al 0.000 0.671 0.572
Pr 0.000 0.651 0.880
Pr 0.500 0.849 0.620
Pr 0.500 0.620 0.151
Pr 0.000 0.880 0.349
Pr 0.000 0.349 0.120
Pr 0.000 0.120 0.651
Pr 0.500 0.151 0.380
Pr 0.500 0.380 0.849
La 0.500 0.500 0.500
La 0.000 0.000 0.000